1.
A geometry-optimized TcMoP2 structure. Source: Alexandria via LeMat-Bulk, functional PBE-GGA.

Results
- crystal system = tetragonal
- magnetization (μB per cell) = 0.000
- offset from the most stable computed form (meV per atom) = 142.2
- N(E_F) (states/eV/cell) = 3.0
- energy of formation (eV/f.u.) = -1.64

Cell: 3.133 3.133 5.592 Å, 90.00 90.00 90.00°
Fractional coordinates of all 4 atoms:
Tc: 0.000 0.000 0.000
Mo: 0.500 0.500 0.369
P: 0.000 0.000 0.549
P: 0.500 0.500 0.822

2.
A geometry-optimized SmTh2Rh9 structure. Source: Alexandria via LeMat-Bulk, functional PBE-GGA.

Results
- crystal system = trigonal
- magnetization (μB per cell) = 0.000
- N(E_F) (states/eV/cell) = 10.5
- energy of formation (eV/f.u.) = -7.23

Cell: 9.426 9.426 9.426 Å, 32.71 32.71 32.71°
Fractional coordinates of all 12 atoms:
Sm: 0.000 0.000 0.000
Th: 0.137 0.137 0.137
Th: 0.863 0.863 0.863
Rh: 0.081 0.583 0.583
Rh: 0.333 0.333 0.333
Rh: 0.417 0.417 0.919
Rh: 0.417 0.919 0.417
Rh: 0.500 0.500 0.500
Rh: 0.583 0.081 0.583
Rh: 0.583 0.583 0.081
Rh: 0.667 0.667 0.667
Rh: 0.919 0.417 0.417

3.
A geometry-optimized Ac2Sm2Co structure. Source: Alexandria via LeMat-Bulk, functional PBE-GGA.

Results
- crystal system = tetragonal
- magnetization (μB per cell) = 0.000
- N(E_F) (states/eV/cell) = 12.7
- energy of formation (eV/f.u.) = 0.70

Cell: 13.321 13.321 13.321 Å, 158.05 158.05 31.24°
Fractional coordinates of all 10 atoms:
Ac: 0.063 0.313 0.750
Ac: 0.313 0.063 0.250
Ac: 0.687 0.937 0.750
Ac: 0.937 0.687 0.250
Sm: 0.196 0.446 0.750
Sm: 0.446 0.196 0.250
Sm: 0.554 0.804 0.750
Sm: 0.804 0.554 0.250
Co: 0.375 0.625 0.750
Co: 0.625 0.375 0.250

4.
A geometry-optimized CaZr2Ti2 structure. Source: Alexandria via LeMat-Bulk, functional PBE-GGA.

Results
- crystal system = tetragonal
- magnetization (μB per cell) = 0.000
- offset from the most stable computed form (meV per atom) = 62.5
- N(E_F) (states/eV/cell) = 14.5
- energy of formation (eV/f.u.) = 1.33

Cell: 8.349 8.349 3.320 Å, 90.00 90.00 90.00°
Fractional coordinates of all 10 atoms:
Ca: 0.000 0.000 0.000
Ca: 0.500 0.500 0.000
Zr: 0.131 0.369 0.000
Zr: 0.369 0.869 0.000
Zr: 0.631 0.131 0.000
Zr: 0.869 0.631 0.000
Ti: 0.156 0.656 0.500
Ti: 0.344 0.156 0.500
Ti: 0.656 0.844 0.500
Ti: 0.844 0.344 0.500

5.
A geometry-optimized YSc2Ti structure. Source: Alexandria via LeMat-Bulk, functional PBE-GGA.

Results
- crystal system = trigonal
- magnetization (μB per cell) = 0.008
- offset from the most stable computed form (meV per atom) = 11.3
- N(E_F) (states/eV/cell) = 7.1
- energy of formation (eV/f.u.) = 0.59

Cell: 10.643 10.643 10.643 Å, 17.66 17.66 17.66°
Fractional coordinates of all 4 atoms:
Y: 0.000 0.000 0.000
Sc: 0.574 0.574 0.574
Sc: 0.758 0.758 0.758
Ti: 0.165 0.165 0.165

6.
A geometry-optimized Dy2ScZn structure. Source: Alexandria via LeMat-Bulk, functional PBE-GGA.

Results
- crystal system = tetragonal
- magnetization (μB per cell) = 0.000
- offset from the most stable computed form (meV per atom) = 0.0
- N(E_F) (states/eV/cell) = 4.5
- energy of formation (eV/f.u.) = -0.57

Cell: 3.519 3.519 8.225 Å, 90.00 90.00 90.00°
Fractional coordinates of all 4 atoms:
Dy: 0.000 0.000 0.219
Dy: 0.000 0.000 0.781
Sc: 0.500 0.500 0.500
Zn: 0.500 0.500 0.000

7.
A geometry-optimized Ca3NbPd12 structure. Source: Alexandria via LeMat-Bulk, functional PBE-GGA.

Results
- crystal system = tetragonal
- magnetization (μB per cell) = 0.000
- N(E_F) (states/eV/cell) = 12.0
- energy of formation (eV/f.u.) = -8.02

Cell: 4.066 4.066 16.531 Å, 90.00 90.00 90.00°
Fractional coordinates of all 16 atoms:
Ca: 0.000 0.000 0.000
Ca: 0.000 0.000 0.254
Ca: 0.000 0.000 0.746
Nb: 0.000 0.000 0.500
Pd: 0.000 0.500 0.128
Pd: 0.000 0.500 0.387
Pd: 0.000 0.500 0.613
Pd: 0.000 0.500 0.872
Pd: 0.500 0.000 0.128
Pd: 0.500 0.000 0.387
Pd: 0.500 0.000 0.613
Pd: 0.500 0.000 0.872
Pd: 0.500 0.500 0.000
Pd: 0.500 0.500 0.258
Pd: 0.500 0.500 0.500
Pd: 0.500 0.500 0.742

8.
A geometry-optimized Nd2Dy2Sb5 structure. Source: Alexandria via LeMat-Bulk, functional PBE-GGA.

Results
- crystal system = orthorhombic
- magnetization (μB per cell) = 0.000
- energy relative to the elements, uncorrected (eV per formula unit) = -7.96
- N(E_F) (states/eV/cell) = 13.7

Cell: 8.993 8.993 8.276 Å, 90.00 90.00 53.48°
Fractional coordinates of all 18 atoms:
Nd: 0.191 0.191 0.000
Nd: 0.309 0.309 0.500
Nd: 0.691 0.691 0.500
Nd: 0.809 0.809 0.000
Dy: 0.157 0.843 0.661
Dy: 0.343 0.657 0.161
Dy: 0.657 0.343 0.839
Dy: 0.843 0.157 0.339
Sb: 0.000 0.000 0.000
Sb: 0.007 0.722 0.357
Sb: 0.222 0.507 0.857
Sb: 0.278 0.993 0.357
Sb: 0.493 0.778 0.857
Sb: 0.500 0.500 0.500
Sb: 0.507 0.222 0.143
Sb: 0.722 0.007 0.643
Sb: 0.778 0.493 0.143
Sb: 0.993 0.278 0.643

9.
A geometry-optimized Dy2YEr3S6 structure. Source: Alexandria via LeMat-Bulk, functional PBE-GGA.

Results
- crystal system = monoclinic
- magnetization (μB per cell) = 0.003
- energy relative to the elements, uncorrected (eV per formula unit) = -23.70
- N(E_F) (states/eV/cell) = 5.2

Cell: 8.684 8.684 7.803 Å, 103.20 103.20 25.80°
Fractional coordinates of all 12 atoms:
Dy: 0.167 0.167 0.334
Dy: 0.833 0.833 0.666
Y: 0.500 0.500 0.000
Er: 0.167 0.167 0.833
Er: 0.500 0.500 0.500
Er: 0.833 0.833 0.167
S: 0.001 0.001 0.747
S: 0.332 0.332 0.919
S: 0.334 0.334 0.414
S: 0.666 0.666 0.586
S: 0.668 0.668 0.081
S: 0.999 0.999 0.253

10.
A geometry-optimized DyPa2Se5 structure. Source: Alexandria via LeMat-Bulk, functional PBE-GGA.

Results
- crystal system = tetragonal
- magnetization (μB per cell) = 5.951
- offset from the most stable computed form (meV per atom) = 41.5
- energy relative to the elements, uncorrected (eV per formula unit) = -11.31
- N(E_F) (states/eV/cell) = 16.5

Cell: 8.578 8.578 8.578 Å, 127.28 127.28 77.80°
Fractional coordinates of all 16 atoms:
Dy: 0.250 0.250 0.000
Dy: 0.750 0.750 0.000
Pa: 0.148 0.648 0.796
Pa: 0.352 0.148 0.500
Pa: 0.648 0.852 0.500
Pa: 0.852 0.352 0.204
Se: 0.000 0.000 0.000
Se: 0.012 0.192 0.500
Se: 0.192 0.692 0.180
Se: 0.308 0.488 0.500
Se: 0.488 0.988 0.180
Se: 0.500 0.500 0.000
Se: 0.512 0.012 0.820
Se: 0.692 0.512 0.500
Se: 0.808 0.308 0.820
Se: 0.988 0.808 0.500

11.
A geometry-optimized SrYTe2 structure. Source: Alexandria via LeMat-Bulk, functional PBE-GGA.

Results
- crystal system = trigonal
- magnetization (μB per cell) = 0.321
- offset from the most stable computed form (meV per atom) = 55.6
- energy relative to the elements, uncorrected (eV per formula unit) = -5.81
- N(E_F) (states/eV/cell) = 3.0

Cell: 8.325 8.325 8.325 Å, 30.72 30.72 30.72°
Fractional coordinates of all 4 atoms:
Sr: 0.000 0.000 0.000
Y: 0.828 0.828 0.828
Te: 0.239 0.239 0.239
Te: 0.421 0.421 0.421

12.
A geometry-optimized Ag2IrSe structure. Source: Alexandria via LeMat-Bulk, functional PBE-GGA.

Results
- crystal system = trigonal
- magnetization (μB per cell) = 0.190
- energy relative to the elements, uncorrected (eV per formula unit) = 1.58
- N(E_F) (states/eV/cell) = 3.4

Cell: 10.445 10.445 10.445 Å, 15.53 15.53 15.53°
Fractional coordinates of all 4 atoms:
Ag: 0.244 0.244 0.244
Ag: 0.756 0.756 0.756
Ir: 0.500 0.500 0.500
Se: 0.000 0.000 0.000